Entry 1:
A geometry-optimized NbAl2Rh structure, computed with PBE. Values from VASP.

space group = No. 225
electronic total energy = -0.2443 Ha/atom
theoretical density = 6.739 g cm⁻³
ΔE_f = -1.7 eV/f.u.
volume = 62 Å³/cell

```
&SYSTEM
  ibrav = 0, nat = 4, ntyp = 3
/
ATOMIC_SPECIES
Nb 92.91 Nb.upf
Al 26.98 Al.upf
Rh 102.91 Rh.upf
CELL_PARAMETERS angstrom
0.0000 3.1337 3.1337
3.1337 0.0000 3.1337
3.1337 3.1337 0.0000
ATOMIC_POSITIONS crystal
Nb 0.0000 0.0000 0.0000
Al 0.2500 0.2500 0.2500
Al 0.7500 0.7500 0.7500
Rh 0.5000 0.5000 0.5000
```

***

Entry 2:
A geometry-optimized BaMgFeB2 structure, computed with PBE. Values from VASP.

space group = No. 123
electronic total energy = -0.1474 Ha/atom
theoretical density = 4.416 g cm⁻³
ΔE_f = 5.3 eV/f.u.
volume = 90 Å³/cell

```
&SYSTEM
  ibrav = 0, nat = 5, ntyp = 4
/
ATOMIC_SPECIES
Ba 137.33 Ba.upf
Mg 24.30 Mg.upf
Fe 55.84 Fe.upf
B 10.81 B.upf
CELL_PARAMETERS angstrom
4.1710 0.0000 0.0000
0.0000 4.1710 0.0000
0.0000 0.0000 5.1683
ATOMIC_POSITIONS crystal
Ba 0.0000 0.0000 0.0000
Mg 0.5000 0.5000 0.0000
Fe 0.0000 0.0000 0.5000
B 0.0000 0.5000 0.5000
B 0.5000 0.0000 0.5000
```

***

Entry 3:
A geometry-optimized Ce3SmY3Te8 structure, computed with PBE. Values from VASP.

space group = No. 166
electronic total energy = -0.2158 Ha/atom
theoretical density = 6.330 g cm⁻³
volume = 487 Å³/cell

```
&SYSTEM
  ibrav = 0, nat = 15, ntyp = 4
/
ATOMIC_SPECIES
Ce 140.12 Ce.upf
Sm 150.36 Sm.upf
Y 88.91 Y.upf
Te 127.60 Te.upf
CELL_PARAMETERS angstrom
4.4023 2.5416 7.2604
-4.4023 2.5416 7.2604
0.0000 -5.0833 7.2604
ATOMIC_POSITIONS crystal
Ce 0.0000 0.5000 0.5000
Ce 0.5000 0.0000 0.5000
Ce 0.5000 0.5000 0.0000
Sm 0.5000 0.5000 0.5000
Y 0.0000 0.0000 0.5000
Y 0.0000 0.5000 0.0000
Y 0.5000 0.0000 0.0000
Te 0.2374 0.7556 0.7556
Te 0.2444 0.2444 0.7626
Te 0.2444 0.7626 0.2444
Te 0.2466 0.2466 0.2466
Te 0.7534 0.7534 0.7534
Te 0.7556 0.2374 0.7556
Te 0.7556 0.7556 0.2374
Te 0.7626 0.2444 0.2444
```

***

Entry 4:
A geometry-optimized LiSn6Rh structure, computed with PBE. Values from VASP.

space group = No. 12
electronic total energy = -0.1570 Ha/atom
theoretical density = 6.760 g cm⁻³
ΔE_f = -0.9 eV/f.u.
volume = 202 Å³/cell

```
&SYSTEM
  ibrav = 0, nat = 8, ntyp = 3
/
ATOMIC_SPECIES
Li 6.94 Li.upf
Sn 118.71 Sn.upf
Rh 102.91 Rh.upf
CELL_PARAMETERS angstrom
3.6430 -5.1315 0.0000
3.6430 5.1315 0.0000
-2.5679 0.0000 5.4011
ATOMIC_POSITIONS crystal
Li 0.0000 0.0000 0.0000
Sn 0.1651 0.7213 0.2226
Sn 0.2787 0.8349 0.7774
Sn 0.4047 0.4047 0.6960
Sn 0.5953 0.5953 0.3040
Sn 0.7213 0.1651 0.2226
Sn 0.8349 0.2787 0.7774
Rh 0.0000 0.0000 0.5000
```

***

Entry 5:
A geometry-optimized SnAuI4 structure, computed with PBE. Values from VASP.

polymorph energy (0 for the lowest one) = 0.000 eV/atom
space group = No. 14
electronic total energy = -0.0905 Ha/atom
theoretical density = 5.602 g cm⁻³
volume = 488 Å³/cell

```
&SYSTEM
  ibrav = 0, nat = 12, ntyp = 3
/
ATOMIC_SPECIES
Sn 118.71 Sn.upf
Au 196.97 Au.upf
I 126.90 I.upf
CELL_PARAMETERS angstrom
7.6206 0.0000 0.0000
0.0000 4.6146 0.0000
-6.2371 0.0000 13.8796
ATOMIC_POSITIONS crystal
Sn 0.0000 0.0000 0.0000
Sn 0.0000 0.5000 0.5000
Au 0.5000 0.0000 0.5000
Au 0.5000 0.5000 0.0000
I 0.2226 0.1599 0.8676
I 0.2226 0.3401 0.3676
I 0.2971 0.0010 0.6223
I 0.2971 0.4990 0.1223
I 0.7029 0.5010 0.8777
I 0.7029 0.9990 0.3777
I 0.7774 0.6599 0.6324
I 0.7774 0.8401 0.1324
```

***

Entry 6:
A geometry-optimized Ce3SiRu structure, computed with PBE. Values from VASP.

polymorph energy (0 for the lowest one) = 0.000 eV/atom
space group = No. 69
electronic total energy = -0.2552 Ha/atom
theoretical density = 8.072 g cm⁻³
volume = 226 Å³/cell

```
&SYSTEM
  ibrav = 0, nat = 10, ntyp = 3
/
ATOMIC_SPECIES
Ce 140.12 Ce.upf
Si 28.09 Si.upf
Ru 101.07 Ru.upf
CELL_PARAMETERS angstrom
0.0000 4.4477 7.9692
3.1894 0.0000 7.9692
3.1894 4.4477 0.0000
ATOMIC_POSITIONS crystal
Ce 0.1928 0.1928 0.8072
Ce 0.2066 0.6127 0.3873
Ce 0.3873 0.7934 0.2066
Ce 0.6127 0.2066 0.7934
Ce 0.7934 0.3873 0.6127
Ce 0.8072 0.8072 0.1928
Si 0.1860 0.8140 0.8140
Si 0.8140 0.1860 0.1860
Ru 0.2500 0.2500 0.2500
Ru 0.7500 0.7500 0.7500
```

***

Entry 7:
A geometry-optimized MnPb5 structure, computed with PBE. Values from VASP.

space group = No. 189
electronic total energy = -0.1601 Ha/atom
theoretical density = 10.494 g cm⁻³
ΔE_f = 1.6 eV/f.u.
volume = 173 Å³/cell

```
&SYSTEM
  ibrav = 0, nat = 6, ntyp = 2
/
ATOMIC_SPECIES
Mn 54.94 Mn.upf
Pb 207.20 Pb.upf
CELL_PARAMETERS angstrom
6.0602 0.0000 0.0000
-3.0301 5.2483 0.0000
0.0000 0.0000 5.4274
ATOMIC_POSITIONS crystal
Mn 0.0000 0.0000 0.0000
Pb 0.0000 0.6855 0.5000
Pb 0.3145 0.3145 0.5000
Pb 0.3333 0.6667 0.0000
Pb 0.6667 0.3333 0.0000
Pb 0.6855 0.0000 0.5000
```

***

Entry 8:
A geometry-optimized LaH5Ru structure, computed with PBE. Values from VASP.

space group = No. 71
electronic total energy = -0.1769 Ha/atom
theoretical density = 6.167 g cm⁻³
volume = 66 Å³/cell

```
&SYSTEM
  ibrav = 0, nat = 7, ntyp = 3
/
ATOMIC_SPECIES
La 138.91 La.upf
H 1.01 H.upf
Ru 101.07 Ru.upf
CELL_PARAMETERS angstrom
-1.8466 2.5904 3.4482
1.8466 -2.5904 3.4482
1.8466 2.5904 -3.4482
ATOMIC_POSITIONS crystal
La 0.0000 0.0000 0.0000
H 0.0909 0.3340 0.7570
H 0.4230 0.6660 0.7570
H 0.5000 0.0000 0.5000
H 0.5770 0.3340 0.2430
H 0.9091 0.6660 0.2430
Ru 0.5000 0.5000 0.0000
```

***

Entry 9:
A geometry-optimized Ca3ICl5 structure, computed with PBE. Values from VASP.

space group = No. 65
electronic total energy = -0.1509 Ha/atom
theoretical density = 2.508 g cm⁻³
volume = 562 Å³/cell

```
&SYSTEM
  ibrav = 0, nat = 18, ntyp = 3
/
ATOMIC_SPECIES
Ca 40.08 Ca.upf
I 126.90 I.upf
Cl 35.45 Cl.upf
CELL_PARAMETERS angstrom
4.5307 -14.5340 0.0000
4.5307 14.5340 0.0000
0.0000 0.0000 4.2678
ATOMIC_POSITIONS crystal
Ca 0.0000 0.0000 0.0000
Ca 0.1612 0.8388 0.5000
Ca 0.3172 0.6828 0.0000
Ca 0.5000 0.5000 0.5000
Ca 0.6828 0.3172 0.0000
Ca 0.8388 0.1612 0.5000
I 0.3945 0.6055 0.5000
I 0.6055 0.3945 0.5000
Cl 0.0234 0.3636 0.0000
Cl 0.0637 0.9363 0.5000
Cl 0.2590 0.7410 0.5000
Cl 0.3037 0.3037 0.0000
Cl 0.3636 0.0234 0.0000
Cl 0.6364 0.9766 0.0000
Cl 0.6963 0.6963 0.0000
Cl 0.7410 0.2590 0.5000
Cl 0.9363 0.0637 0.5000
Cl 0.9766 0.6364 0.0000
```

***

Entry 10:
A geometry-optimized La4Sb2AsI structure, computed with PBE. Values from VASP.

space group = No. 10
electronic total energy = -0.2055 Ha/atom
theoretical density = 6.219 g cm⁻³
volume = 267 Å³/cell

```
&SYSTEM
  ibrav = 0, nat = 8, ntyp = 4
/
ATOMIC_SPECIES
La 138.91 La.upf
Sb 121.76 Sb.upf
As 74.92 As.upf
I 126.90 I.upf
CELL_PARAMETERS angstrom
7.8192 0.0000 0.0000
0.0000 4.5570 0.0000
-2.6505 0.0000 7.5008
ATOMIC_POSITIONS crystal
La 0.2429 0.0000 0.2318
La 0.2547 0.5000 0.7696
La 0.7453 0.5000 0.2304
La 0.7571 0.0000 0.7682
Sb 0.5000 0.0000 0.0000
Sb 0.5000 0.5000 0.5000
As 0.0000 0.5000 0.0000
I 0.0000 0.0000 0.5000
```

***

Entry 11:
A geometry-optimized CrIrOs structure, computed with PBE. Values from VASP.

polymorph energy (0 for the lowest one) = 0.456 eV/atom
space group = No. 70
electronic total energy = -0.3523 Ha/atom
theoretical density = 15.569 g cm⁻³
ΔE_f = 1.0 eV/f.u.
volume = 185 Å³/cell

```
&SYSTEM
  ibrav = 0, nat = 12, ntyp = 3
/
ATOMIC_SPECIES
Cr 52.00 Cr.upf
Ir 192.22 Ir.upf
Os 190.23 Os.upf
CELL_PARAMETERS angstrom
0.0000 4.0295 5.7190
4.0214 0.0000 5.7190
4.0214 4.0295 0.0000
ATOMIC_POSITIONS crystal
Cr 0.1169 0.6331 0.6331
Cr 0.3669 0.8831 0.8831
Cr 0.6331 0.1169 0.1169
Cr 0.8831 0.3669 0.3669
Ir 0.2503 0.2503 0.4997
Ir 0.4997 0.4997 0.2503
Ir 0.5003 0.5003 0.7497
Ir 0.7497 0.7497 0.5003
Os 0.9997 0.9997 0.2503
Os 0.0003 0.0003 0.7497
Os 0.2503 0.2503 0.9997
Os 0.7497 0.7497 0.0003
```

***

Entry 12:
A geometry-optimized Sr3Li3Ag structure, computed with PBE. Values from VASP.

space group = No. 44
electronic total energy = -0.0741 Ha/atom
theoretical density = 2.729 g cm⁻³
ΔE_f = -0.5 eV/f.u.
volume = 238 Å³/cell

```
&SYSTEM
  ibrav = 0, nat = 7, ntyp = 3
/
ATOMIC_SPECIES
Sr 87.62 Sr.upf
Li 6.94 Li.upf
Ag 107.87 Ag.upf
CELL_PARAMETERS angstrom
-2.2951 2.4103 10.7678
2.2951 -2.4103 10.7678
2.2951 2.4103 -10.7678
ATOMIC_POSITIONS crystal
Sr 0.0000 0.0000 0.0000
Sr 0.3720 0.3720 0.0000
Sr 0.6983 0.1983 0.5000
Li 0.1332 0.6332 0.5000
Li 0.5555 0.5555 0.0000
Li 0.8211 0.8211 0.0000
Ag 0.2576 0.7576 0.5000
```

***

> Among the records above, which one has the highest electronic total energy?

Sr3Li3Ag